A geometry-optimized AcPrHg5 structure. Source: Alexandria, functional PBE-GGA.

abc: 6.771 6.788 9.136
angles: 90.00 90.00 90.00
Space group Cmmm (No. 65)
Asymmetric unit:
Ac1 0.000 0.000 0.000 x2
Pr1 0.000 0.500 0.500 x2
Hg1 0.000 0.000 0.500 x2
Hg2 0.250 0.250 0.253 x8

## Properties
- DOS(E_F) (states/eV per cell) = 10.793
- energy of formation (eV per atom) = -0.320
- E (hartree per atom) = -0.066
- total magnetization (μB per cell) = 0.0



A geometry-optimized Ac2Pr3Hg3 structure. Source: Alexandria, functional PBE-GGA.

abc: 3.979 5.681 23.391
angles: 90.00 90.00 90.00
Space group Immm (No. 71)
Asymmetric unit:
Ac1 0.000 0.000 0.227 x4
Pr1 0.000 0.000 0.000 x2
Pr2 0.000 0.500 0.116 x4
Hg1 0.000 0.000 0.500 x2
Hg2 0.000 0.500 0.390 x4

## Properties
- DOS(E_F) (states/eV per cell) = 22.312
- energy of formation (eV per atom) = -0.297
- E (hartree per atom) = -0.119
- total magnetization (μB per cell) = 0.1



A geometry-optimized Ac2Pr3Hg4 structure. Source: Alexandria, functional PBE-GGA.

abc: 7.346 18.159 8.878
angles: 90.00 90.00 90.00
Space group Cmce (No. 64)
Asymmetric unit:
Ac1 0.000 0.100 0.082 x8
Pr1 0.000 0.000 0.500 x4
Pr2 0.250 0.233 0.750 x8
Hg1 0.000 0.173 0.468 x8
Hg2 0.250 0.058 0.750 x8

## Properties
- ΔE to the lowest computed polymorph (eV per atom) = 0.051
- DOS(E_F) (states/eV per cell) = 39.278
- energy of formation (eV per atom) = -0.345
- E (hartree per atom) = -0.110
- total magnetization (μB per cell) = 0.0



E of number 3 (Ac2Pr3Hg4)? -0.110 hartree per atom



The highest E belongs to which entry? AcPrHg5